(1)
5
Lattice="6.256 0.000 0.000 0.000 6.256 0.000 3.128 3.128 3.789" Properties=species:S:1:pos:R:3 comment="Sr2Ga2Au | Alexandria | PBE | optimized geometry" magmom_total_mub_per_cell=0.0 polymorph_energy_kj_per_mol_fu=120 final_energy_ry_per_atom=-0.2090 pbc="T T T"
Sr 3.128 6.256 1.895
Ga 6.256 6.256 2.598
Sr 6.256 3.128 1.895
Ga 3.128 3.128 1.191
Au 0.000 0.000 0.000

=====

(2)
8
Lattice="-2.753 -0.943 -0.865 1.038 -2.845 -0.203 -5.547 -3.559 21.543" Properties=species:S:1:pos:R:3 comment="Sr2Ga3Au3 | Alexandria | PBE | optimized geometry" magmom_total_mub_per_cell=0.0 final_energy_ry_per_atom=-0.1789 pbc="T T T"
Ga -3.631 -3.674 10.238
Au -4.275 -4.087 12.739
Sr -5.009 -4.558 15.591
Au -2.987 -3.260 7.736
Ga -5.780 -5.053 18.584
Ga -1.482 -2.295 1.891
Sr -2.252 -2.789 4.884
Au -0.857 -1.894 -0.534

=====

(3)
8
Lattice="4.363 0.000 0.000 0.000 4.726 0.000 0.000 0.000 11.828" Properties=species:S:1:pos:R:3 comment="Sr4GaAu3 | Alexandria | PBE | optimized geometry" magmom_total_mub_per_cell=0.0 final_energy_ry_per_atom=-0.2294 pbc="T T T"
Au 0.000 2.363 6.839
Sr 2.181 2.363 4.285
Au 0.000 0.000 4.999
Sr 0.000 0.000 1.672
Sr 0.000 2.363 10.129
Au 2.181 0.000 11.060
Ga 2.181 2.363 0.765
Sr 2.181 0.000 7.566

=====

(4)
12
Lattice="4.471 0.000 0.000 0.000 4.471 0.000 -2.235 -2.235 14.374" Properties=species:S:1:pos:R:3 comment="Sr3Ga2Au7 | Alexandria | PBE | optimized geometry" magmom_total_mub_per_cell=0.0 final_energy_ry_per_atom=-0.2476 pbc="T T T"
Sr 2.235 2.235 4.983
Ga 2.235 2.235 10.760
Ga 0.000 0.000 3.614
Sr 0.000 0.000 9.391
Au 0.000 0.000 0.000
Au 2.235 2.235 8.150
Au 0.000 0.000 6.224
Au 2.235 0.000 12.083
Au 2.235 0.000 2.291
Au 0.000 2.235 12.083
Au 0.000 2.235 2.291
Sr 2.235 2.235 0.000

=====

(5)
10
Lattice="4.794 0.000 0.000 0.000 7.554 0.000 0.000 -3.777 6.389" Properties=species:S:1:pos:R:3 comment="SrGa2Au7 | Alexandria | PBE | optimized geometry" magmom_total_mub_per_cell=0.0 final_energy_ry_per_atom=-0.2439 pbc="T T T"
Au 2.397 -2.355 4.869
Au 0.000 0.000 4.787
Ga 2.397 0.000 3.660
Au 2.397 3.777 0.000
Au 2.397 6.132 1.520
Au 2.397 2.355 4.869
Au 0.000 3.777 1.602
Au 2.397 1.422 1.520
Ga 2.397 3.777 2.728
Sr 0.000 0.000 0.000

=====

(6)
9
Lattice="-0.559 -0.306 4.707 -3.356 -4.097 -3.062 8.463 -3.171 0.798" Properties=species:S:1:pos:R:3 comment="Sr3Ga2Au4 | Alexandria | PBE | optimized geometry" magmom_total_mub_per_cell=0.0 final_energy_ry_per_atom=-0.2487 pbc="T T T"
Au 1.767 -5.396 2.255
Au 2.782 -2.178 0.188
Sr -0.026 -4.068 -0.268
Ga 1.360 -2.579 2.390
Au -1.241 -2.266 2.102
Sr 0.000 0.000 0.000
Sr 4.575 -3.506 2.712
Au 5.790 -5.308 0.342
Ga 3.189 -4.995 0.053

=====

(7)
18
Lattice="5.713 0.000 -2.238 0.000 8.008 0.000 0.100 0.000 8.666" Properties=species:S:1:pos:R:3 comment="Sr2Ga3Au4 | Alexandria | PBE | optimized geometry" magmom_total_mub_per_cell=0.0 final_energy_ry_per_atom=-0.2499 pbc="T T T"
Sr 5.156 3.286 4.751
Au 1.845 3.764 4.710
Au 4.702 0.240 3.591
Ga 2.738 2.002 2.783
Au 1.746 2.002 0.251
Sr 3.514 7.290 0.558
Au 4.067 6.006 6.176
Ga 5.594 2.002 1.664
Ga 0.219 6.006 4.764
Au 3.968 4.244 1.718
Ga 3.075 6.006 3.645
Au 1.111 7.768 2.837
Au 1.211 6.006 7.295
Sr 2.300 0.718 5.870
Ga 0.000 0.000 0.000
Ga 2.857 4.004 -1.119
Au 4.603 2.002 -0.868
Sr 0.657 4.722 1.677

=====

(8)
14
Lattice="-1.739 2.484 -5.555 -8.865 -2.205 1.790 3.365 8.267 2.644" Properties=species:S:1:pos:R:3 comment="Sr3GaAu3 | Alexandria | PBE | optimized geometry" magmom_total_mub_per_cell=0.0 polymorph_energy_kj_per_mol_fu=89 final_energy_ry_per_atom=-0.2304 pbc="T T T"
Sr -8.620 2.240 -1.707
Au -2.820 4.315 -2.595
Sr -2.970 6.955 2.238
Ga -5.223 1.907 0.685
Sr -4.270 1.591 -3.360
Au -7.659 1.168 1.118
Sr -1.850 2.931 0.087
Au -4.419 4.231 1.473
Au -3.649 8.225 -0.587
Sr 1.380 6.306 0.585
Au 0.420 7.378 -2.240
Au -3.591 0.321 -0.535
Sr -5.389 5.616 -1.209
Ga -2.016 6.639 -1.807

=====

(9)
11
Lattice="5.597 0.000 0.000 0.000 5.597 0.000 0.000 0.000 8.754" Properties=species:S:1:pos:R:3 comment="SrGa2Au8 | Alexandria | PBE | optimized geometry" magmom_total_mub_per_cell=0.0 final_energy_ry_per_atom=-0.2377 pbc="T T T"
Au 4.212 1.385 6.941
Sr 2.799 2.799 4.377
Au 1.385 4.212 6.941
Au 1.385 4.212 1.812
Ga 2.799 0.000 0.000
Au 4.212 4.212 1.812
Ga 0.000 2.799 0.000
Au 1.385 1.385 6.941
Au 4.212 1.385 1.812
Au 4.212 4.212 6.941
Au 1.385 1.385 1.812